Record 1
# VAsI

A relaxed VAsI crystal (PBE, the Alexandria database).

a b c (Å): 3.732 3.732 6.417
angles (deg): 90.00 90.00 120.00
Atoms (fractional coordinates):
I 0.000 0.000 0.215
As 0.667 0.333 0.692
V 0.333 0.667 0.508

Computed properties:
Excess energy over the best structure of this formula in the dataset = 121 meV/atom
Space group = No. 156


Record 2
# SrAcCuS3

A relaxed SrAcCuS3 crystal (PBE, the Alexandria database).

a b c (Å): 4.129 6.810 11.305
angles (deg): 90.00 90.00 107.65
Atoms (fractional coordinates):
S 0.924 0.847 0.250
S 0.357 0.714 0.911
Ac 0.000 0.000 0.500
Cu 0.472 0.944 0.750
S 0.643 0.286 0.411
S 0.643 0.286 0.089
Ac 0.000 0.000 0.000
Sr 0.250 0.499 0.250
Sr 0.750 0.501 0.750
Cu 0.528 0.056 0.250
S 0.357 0.714 0.589
S 0.076 0.153 0.750

Computed properties:
Space group = No. 63


Record 3
# Y2TaTe

A relaxed Y2TaTe crystal (PBE, the Alexandria database).

a b c (Å): 5.967 5.967 5.425
angles (deg): 74.18 74.18 33.85
Atoms (fractional coordinates):
Y 0.773 0.773 0.697
Te 0.218 0.218 0.230
Y 0.981 0.981 0.046
Ta 0.528 0.528 0.527

Computed properties:
Space group = No. 8


Record 4
# CdIn2Se

A relaxed CdIn2Se crystal (PBE, the Alexandria database).

a b c (Å): 3.669 3.669 7.621
angles (deg): 90.00 90.00 90.00
Atoms (fractional coordinates):
In 0.500 0.500 0.288
In 0.000 0.000 0.980
Cd 0.500 0.500 0.727
Se 0.000 0.000 0.506

Computed properties:
Excess energy over the best structure of this formula in the dataset = 81 meV/atom
Space group = No. 99


Record 5
# Pm3AsH

A relaxed Pm3AsH crystal (PBE, the Alexandria database).

a b c (Å): 4.795 4.795 4.795
angles (deg): 90.00 90.00 90.00
Atoms (fractional coordinates):
Pm 0.000 0.500 0.000
Pm 0.500 0.000 0.000
H 0.000 0.000 0.000
Pm 0.000 0.000 0.500
As 0.500 0.500 0.500

Computed properties:
Space group = No. 221


Record 6
# Tl5CdHg8

A relaxed Tl5CdHg8 crystal (PBE, the Alexandria database).

a b c (Å): 8.112 8.112 8.112
angles (deg): 108.84 110.74 108.84
Atoms (fractional coordinates):
Hg 0.602 0.395 0.882
Tl 0.912 0.887 0.239
Tl 0.975 0.326 0.088
Cd 0.250 0.500 0.750
Tl 0.500 0.000 0.500
Hg 0.118 0.721 0.514
Hg 0.117 0.704 0.014
Hg 0.310 0.296 0.413
Hg 0.986 0.103 0.690
Tl 0.761 0.674 0.648
Hg 0.486 0.605 0.207
Hg 0.587 0.897 0.883
Hg 0.793 0.279 0.398
Tl 0.352 0.113 0.025

Computed properties:
Space group = No. 82


Record 7
# Ag2Rh3

A relaxed Ag2Rh3 crystal (PBE, the Alexandria database).

a b c (Å): 4.815 4.815 6.952
angles (deg): 62.54 62.54 33.52
Atoms (fractional coordinates):
Rh 0.715 0.715 0.175
Ag 0.097 0.097 0.598
Ag 0.903 0.903 0.402
Rh 0.500 0.500 0.000
Rh 0.285 0.285 0.825

Computed properties:
Excess energy over the best structure of this formula in the dataset = 74 meV/atom
Space group = No. 12


Record 8
# Er5Cu4Hg

A relaxed Er5Cu4Hg crystal (PBE, the Alexandria database).

a b c (Å): 3.457 3.457 17.765
angles (deg): 90.00 90.00 90.00
Atoms (fractional coordinates):
Hg 0.000 0.000 0.000
Er 0.500 0.500 0.884
Er 0.500 0.500 0.307
Er 0.500 0.500 0.693
Cu 0.000 0.000 0.789
Er 0.500 0.500 0.500
Cu 0.000 0.000 0.597
Cu 0.000 0.000 0.211
Er 0.500 0.500 0.116
Cu 0.000 0.000 0.403

Computed properties:
Space group = No. 123


Record 9
# Nd4Sm5Cd

A relaxed Nd4Sm5Cd crystal (PBE, the Alexandria database).

a b c (Å): 5.931 8.188 8.188
angles (deg): 82.46 68.76 68.76
Atoms (fractional coordinates):
Nd 0.783 0.683 0.683
Nd 0.466 0.683 0.317
Cd 0.178 0.000 0.000
Sm 0.137 0.000 0.631
Sm 0.138 0.631 0.000
Sm 0.768 0.000 0.369
Nd 0.150 0.317 0.317
Sm 0.655 0.000 0.000
Sm 0.768 0.369 0.000
Nd 0.466 0.317 0.683

Computed properties:
Excess energy over the best structure of this formula in the dataset = 159 meV/atom
Space group = No. 107


Record 10
# Na2ScTiSe4

A relaxed Na2ScTiSe4 crystal (PBE, the Alexandria database).

a b c (Å): 3.846 6.683 7.339
angles (deg): 107.62 90.00 90.00
Atoms (fractional coordinates):
Na 0.500 0.000 0.500
Sc 0.000 0.000 0.000
Na 0.000 0.500 0.500
Se 0.000 0.731 0.214
Se 0.500 0.754 0.782
Se 0.500 0.246 0.218
Ti 0.500 0.500 0.000
Se 0.000 0.269 0.786

Computed properties:
Space group = No. 10


Record 11
# CaPm2Re

A relaxed CaPm2Re crystal (PBE, the Alexandria database).

a b c (Å): 3.339 3.339 11.945
angles (deg): 81.97 81.97 60.00
Atoms (fractional coordinates):
Pm 0.075 0.075 0.775
Ca 0.500 0.500 0.500
Pm 0.925 0.925 0.225
Re 0.000 0.000 0.000

Computed properties:
Space group = No. 166


Record 12
# ZrHg2Rh

A relaxed ZrHg2Rh crystal (PBE, the Alexandria database).

a b c (Å): 4.783 3.048 5.583
angles (deg): 74.81 90.00 90.00
Atoms (fractional coordinates):
Hg 0.000 0.395 0.486
Rh 0.500 0.250 0.250
Hg 0.000 0.105 0.014
Zr 0.500 0.750 0.750

Computed properties:
Excess energy over the best structure of this formula in the dataset = 202 meV/atom
Space group = No. 10


Record 13
# CeGaTe2

A relaxed CeGaTe2 crystal (PBE, the Alexandria database).

a b c (Å): 4.490 6.248 8.786
angles (deg): 110.60 90.00 90.00
Atoms (fractional coordinates):
Ga 0.750 0.756 0.315
Ga 0.250 0.244 0.685
Ce 0.750 0.636 0.793
Ce 0.250 0.364 0.207
Te 0.750 0.206 0.923
Te 0.750 0.227 0.428
Te 0.250 0.794 0.077
Te 0.250 0.773 0.572

Computed properties:
Excess energy over the best structure of this formula in the dataset = 0 meV/atom
Space group = No. 11


no.,E (eV/atom)
1,-5.172
2,-5.375
3,-7.131
4,-2.582
5,-4.973
6,-1.070
7,-5.356
8,-4.262
9,-4.251
10,-5.211
11,-5.046
12,-4.186
13,-4.760